(1)
Computed, not measured: a relaxed structure of CdTeMo2 at the GGA-PBE level of DFT.

Cell and atoms, written as CIF:
```
data_CdTeMo2
_cell_length_a 3.152
_cell_length_b 4.840
_cell_length_c 11.040
_cell_angle_alpha 90.00
_cell_angle_beta 90.00
_cell_angle_gamma 90.00
_symmetry_space_group_name_H-M 'I m m 2'
_symmetry_Int_Tables_number 44
loop_
_symmetry_equiv_pos_as_xyz
'x,y,z'
'-x,-y,z'
'-x,y,z'
'x,-y,z'
'x+1/2,y+1/2,z+1/2'
'-x+1/2,-y+1/2,z+1/2'
'-x+1/2,y+1/2,z+1/2'
'x+1/2,-y+1/2,z+1/2'
loop_
_atom_site_label
_atom_site_type_symbol
_atom_site_fract_x
_atom_site_fract_y
_atom_site_fract_z
_atom_site_occupancy
Cd1 Cd 0.000 0.000 0.000 1
Te1 Te 0.000 0.500 0.777 1
Mo1 Mo 0.000 0.000 0.510 1
Mo2 Mo 0.000 0.500 0.180 1
```

Summary:
M_tot in μB/cell: 0.000
Energy relative to the elements, uncorrected in eV/atom: 0.466

---

(2)
Computed, not measured: a relaxed structure of Sb2MoCl at the GGA-PBE level of DFT.

Cell and atoms, written as CIF:
```
data_Sb2MoCl
_cell_length_a 7.445
_cell_length_b 7.455
_cell_length_c 3.030
_cell_angle_alpha 90.00
_cell_angle_beta 90.00
_cell_angle_gamma 90.00
_symmetry_space_group_name_H-M 'C m m m'
_symmetry_Int_Tables_number 65
_symmetry_space_group_name_Hall '-C 2 2'
loop_
_atom_site_label
_atom_site_type_symbol
_atom_site_fract_x
_atom_site_fract_y
_atom_site_fract_z
_atom_site_occupancy
Sb1 Sb 0.250 0.250 0.000 1
Mo1 Mo 0.000 0.000 0.500 1
Cl1 Cl 0.000 0.500 0.500 1
```

Summary:
M_tot in μB/cell: 0.000
Energy relative to the elements, uncorrected in eV/atom: 0.469